(1)
This record from Alexandria describes a relaxed structure of Tb3CeEr2As6. The functional is PBE-GGA.

Output
The space group is C2/m. Its crystal system is monoclinic. The calculation puts the calculated formation energy at -1.5174 eV per atom.

```
12
Lattice="3.576 -6.194 0.000 3.576 6.194 0.000 -2.385 0.000 6.752" Properties=species:S:1:pos:R:3 pbc="T T T"
Tb 0.000 0.000 0.000
Tb 3.576 2.056 0.000
Tb 3.576 -2.056 0.000
Ce 2.384 0.000 3.376
Er 2.384 4.128 3.376
Er 2.384 -4.128 3.376
As 1.184 2.078 1.698
As -0.016 0.000 5.045
As 1.184 -2.078 1.698
As 3.583 2.078 5.054
As 4.783 0.000 1.708
As 3.583 -2.078 5.054
```


(2)
This record from Alexandria describes a relaxed structure of La3NdSmDy. The functional is PBE-GGA.

Output
The space group is C2/m. Its crystal system is monoclinic. The calculation puts the calculated formation energy at 0.1510 eV per atom.

```
12
Lattice="10.458 -2.961 0.000 10.458 2.961 0.000 -0.143 0.000 6.871" Properties=species:S:1:pos:R:3 pbc="T T T"
La 0.298 0.000 1.819
La 5.803 0.000 1.497
La 7.033 0.000 4.934
La 13.741 0.000 1.936
La 14.970 0.000 5.374
La 20.475 0.000 5.052
Nd 2.756 0.000 6.859
Nd 18.017 0.000 0.011
Sm 9.190 0.000 1.702
Sm 11.583 0.000 5.169
Dy 3.072 0.000 3.735
Dy 17.702 0.000 3.136
```


(3)
This record from Alexandria describes a relaxed structure of AcLa2Ce3P6. The functional is PBE-GGA.

Output
The space group is C2/m. Its crystal system is monoclinic. The calculation puts the calculated formation energy at -1.5049 eV per atom.

```
12
Lattice="3.643 -6.310 0.000 3.643 6.310 0.000 -2.430 0.000 6.892" Properties=species:S:1:pos:R:3 pbc="T T T"
Ac 0.000 0.000 0.000
La 3.643 2.107 0.000
La 3.643 -2.107 0.000
Ce 2.428 4.215 3.446
Ce 2.428 0.000 3.446
Ce 2.428 -4.215 3.446
P 1.235 2.140 1.836
P 0.041 0.000 5.059
P 1.235 -2.140 1.836
P 3.621 2.140 5.056
P 4.815 0.000 1.833
P 3.621 -2.140 5.056
```


(4)
This record from Alexandria describes a relaxed structure of Tm3PaH. The functional is PBE-GGA.

Output
The space group is Pm-3m. For the total energy, the calculation gives -0.1924 hartree per atom. Its crystal system is cubic.

```
5
Lattice="4.832 0.000 0.000 0.000 4.832 0.000 0.000 0.000 4.832" Properties=species:S:1:pos:R:3 pbc="T T T"
Tm 0.000 0.000 2.416
Tm 0.000 2.416 0.000
Tm 2.416 0.000 0.000
Pa 2.416 2.416 2.416
H 0.000 0.000 0.000
```


(5)
This record from Alexandria describes a relaxed structure of Pr5Nd2DySc. The functional is PBE-GGA.

Output
The space group is I4/mcm. Its crystal system is tetragonal. The calculation puts the calculated formation energy at 0.2779 eV per atom.

```
18
Lattice="-4.258 4.258 8.626 4.258 -4.258 8.626 4.258 4.258 -8.626" Properties=species:S:1:pos:R:3 pbc="T T T"
Pr 0.000 0.000 0.000
Pr 6.117 1.860 -2.518
Pr 1.860 2.398 -2.518
Pr 6.117 1.860 2.518
Pr 1.860 2.398 2.518
Pr 0.000 0.000 8.626
Pr 2.398 1.860 6.108
Pr -1.860 2.398 6.108
Pr 2.398 1.860 11.144
Pr -1.860 2.398 11.144
Nd 3.193 1.065 0.000
Nd 3.193 -1.065 8.626
Nd 1.065 5.323 0.000
Nd 1.065 3.193 8.626
Dy 0.000 0.000 4.313
Dy 0.000 0.000 12.939
Sc 4.258 0.000 4.313
Sc 0.000 4.258 4.313
```


(6)
This record from Alexandria describes a relaxed structure of Al4ZnSe. The functional is PBE-GGA.

Output
The space group is F-43m. The energy relative to the elements, uncorrected is 0.2418 eV per atom. Its crystal system is cubic.

```
6
Lattice="0.000 3.830 3.830 3.830 0.000 3.830 3.830 3.830 0.000" Properties=species:S:1:pos:R:3 pbc="T T T"
Al 2.879 2.879 2.879
Al 4.781 4.781 2.879
Al 4.781 2.879 4.781
Al 2.879 4.781 4.781
Zn 5.745 5.745 5.745
Se 0.000 0.000 0.000
```


Magnetic moment (μB/cell)
0.5, 0.0, 1.7, 0.7, 0.0, 0.0
N(E_F) (states/eV per cell)
5.76, 16.62, 15.27, 7.25, 26.44, 3.02